No. 1
The following is a PBE calculation of crystalline SnB2Mo3 at its relaxed geometry, from OQMD.

Cell lengths 3.189, 3.189, 18.817 Å; angles 90.00, 90.00, 120.00 degrees
Element x y z (fractional)
Sn (0.000, 0.000, 0.250)
Sn (0.000, 0.000, 0.750)
B (0.333, 0.667, 0.069)
B (0.333, 0.667, 0.431)
B (0.667, 0.333, 0.569)
B (0.667, 0.333, 0.931)
Mo (0.000, 0.000, 0.000)
Mo (0.000, 0.000, 0.500)
Mo (0.333, 0.667, 0.630)
Mo (0.333, 0.667, 0.870)
Mo (0.667, 0.333, 0.130)
Mo (0.667, 0.333, 0.370)

Computed properties:
E in eV for the cell shown: -101.7
Size of the total moment in μB/cell: 0.178


No. 2
The following is a PBE calculation of crystalline SnB4Mo3 at its relaxed geometry, from OQMD.

Cell lengths 3.074, 3.159, 9.279 Å; angles 90.00, 90.00, 90.00 degrees
Element x y z (fractional)
Sn (0.000, 0.000, 0.000)
B (0.000, 0.000, 0.302)
B (0.000, 0.000, 0.698)
B (0.500, 0.000, 0.401)
B (0.500, 0.000, 0.599)
Mo (0.000, 0.500, 0.500)
Mo (0.500, 0.500, 0.222)
Mo (0.500, 0.500, 0.778)

Computed properties:
E in eV for the cell shown: -65.0
Size of the total moment in μB/cell: 0.008


No. 3
The following is a PBE calculation of crystalline SnBMo at its relaxed geometry, from OQMD.

Cell lengths 4.248, 4.248, 4.248 Å; angles 60.00, 60.00, 60.00 degrees
Element x y z (fractional)
Sn (0.000, 0.000, 0.000)
B (0.500, 0.500, 0.500)
Mo (0.750, 0.750, 0.750)

Computed properties:
E in eV for the cell shown: -17.5
Offset from the most stable computed form in meV/atom: 579.3
Size of the total moment in μB/cell: 0.875